Here is crystalline SbTe2F at its relaxed geometry from the Alexandria database. Energies are from GGA-PBE.

The structure in CIF format:
```
data_SbTe2F
_space_group_name_H-M_alt 'P 1'
_space_group_IT_number 1
_cell_length_a 10.330
_cell_length_b 10.330
_cell_length_c 7.684
_cell_angle_alpha 47.76
_cell_angle_beta 47.76
_cell_angle_gamma 90.00
loop_
_space_group_symop_operation_xyz
'x,y,z'
loop_
_atom_site_label
_atom_site_fract_x
_atom_site_fract_y
_atom_site_fract_z
_atom_site_occupancy
Te1 0.043 0.625 0.250 1
Te2 0.875 0.957 0.750 1
F1 0.500 0.500 0.000 1
Te3 0.375 0.293 0.750 1
Te4 0.707 0.125 0.250 1
Sb1 0.000 0.000 0.000 1
Sb2 0.750 0.250 0.500 1
F2 0.250 0.750 0.500 1
```

The formation energy from raw total energies comes out at -0.496 eV/atom. The volume is 254.48 Å³ per cell. The energy above the most stable polymorph in this dataset comes out at 0.0000 eV/atom. Its space-group type is No. 122. The calculation puts the total energy at -3.566 eV per atom.

Here is crystalline Sb3TeF at its relaxed geometry from the Alexandria database. Energies are from GGA-PBE.

The structure in CIF format:
```
data_Sb3TeF
_space_group_name_H-M_alt 'P 1'
_space_group_IT_number 1
_cell_length_a 5.737
_cell_length_b 5.737
_cell_length_c 5.737
_cell_angle_alpha 90.00
_cell_angle_beta 90.00
_cell_angle_gamma 90.00
loop_
_space_group_symop_operation_xyz
'x,y,z'
loop_
_atom_site_label
_atom_site_fract_x
_atom_site_fract_y
_atom_site_fract_z
_atom_site_occupancy
Sb1 0.000 0.000 0.500 1
Te1 0.000 0.000 0.000 1
Sb2 0.500 0.000 0.000 1
F1 0.500 0.500 0.500 1
Sb3 0.000 0.500 0.000 1
```

The formation energy from raw total energies comes out at 0.655 eV/atom. The volume is 188.87 Å³ per cell. The energy above the most stable polymorph in this dataset comes out at 0.6287 eV/atom. Its space-group type is No. 221. The calculation puts the total energy at -2.821 eV per atom.

no.,N(E_F) (states/eV/cell)
1,1.1
2,3.9